## CsAcHO2 (PBE-GGA)

Data for crystalline CsAcHO2 at its relaxed geometry.

Computed properties:
The value obtained for the total energy is -5.11 eV/atom. Its crystal system is monoclinic.

abc: 7.174 4.674 7.084
angles: 90.00 104.08 90.00
Space group P2/c (No. 13)
Symmetry-distinct sites (fractional):
1 Cs 0.000 0.198 0.250
2 Ac 0.500 0.375 0.750
3 H 0.500 0.000 0.000
4 O 0.294 0.371 0.992

=====

## TbPmPb (PBE-GGA)

Data for crystalline TbPmPb at its relaxed geometry.

Computed properties:
As for the energy above the most stable polymorph in this dataset: 0.228 eV/atom. Its formation energy is -0.218 eV per atom. Its crystal system is trigonal.

abc: 5.2677 5.2677 3.9243
angles: 90.00 90.00 120.00
Space group P3m1 (No. 156)
Symmetry-distinct sites (fractional):
1 Tb 0.0000 0.0000 0.0000
2 Pm 0.6667 0.3333 0.4529
3 Pb 0.3333 0.6667 0.7889

=====

## LaY2Ni (PBE-GGA)

Data for crystalline LaY2Ni at its relaxed geometry.

Computed properties:
As for the energy above the most stable polymorph in this dataset: 0.420 eV/atom. Its formation energy is 0.203 eV per atom. Its crystal system is tetragonal.

abc: 5.258 5.258 3.757
angles: 90.00 90.00 90.00
Space group P4/mmm (No. 123)
Symmetry-distinct sites (fractional):
1 La 0.000 0.000 0.000
2 Y 0.000 0.500 0.500
3 Ni 0.500 0.500 0.000

=====

In order of appearance, total moment = 1.00; 0.00; 0.00 μB per formula unit.